#w
Computed, not measured: a geometry-optimized Si3SnB structure at the GGA-PBEsol level of DFT.

Unit cell a=4.2645 b=4.2645 c=4.2645 alpha=90.00 beta=90.00 gamma=90.00
Sites, in units of the cell vectors:
Si: 0.0000 0.0000 0.5000
Si: 0.0000 0.5000 0.0000
Si: 0.5000 0.0000 0.0000
Sn: 0.5000 0.5000 0.5000
B: 0.0000 0.0000 0.0000

Calculated values
Total magnetic moment: 0.0 μB per cell

#x
Computed, not measured: a geometry-optimized Si3SnB structure at the GGA-PBEsol level of DFT.

Unit cell a=5.0615 b=5.0615 c=5.0615 alpha=90.00 beta=90.00 gamma=90.00
Sites, in units of the cell vectors:
Si: 0.0000 0.0000 0.5000
Si: 0.0000 0.5000 0.0000
Si: 0.5000 0.0000 0.0000
Sn: 0.0000 0.0000 0.0000
B: 0.5000 0.5000 0.5000

Calculated values
Total magnetic moment: 0.0 μB per cell

Most stable: #w. Least stable: #x.

#w
Computed, not measured: a geometry-optimized TiBTe3 structure at the GGA-PBEsol level of DFT.

Unit cell a=5.2372 b=5.2372 c=5.2372 alpha=90.00 beta=90.00 gamma=90.00
Sites, in units of the cell vectors:
Ti: 0.0000 0.0000 0.0000
B: 0.5000 0.5000 0.5000
Te: 0.0000 0.0000 0.5000
Te: 0.0000 0.5000 0.0000
Te: 0.5000 0.0000 0.0000

Calculated values
Total magnetic moment: 0.0 μB per cell

#x
Computed, not measured: a geometry-optimized TiBTe3 structure at the GGA-PBEsol level of DFT.

Unit cell a=4.7772 b=4.7772 c=4.7772 alpha=90.00 beta=90.00 gamma=90.00
Sites, in units of the cell vectors:
Ti: 0.0000 0.0000 0.0000
B: 0.5000 0.5000 0.5000
Te: 0.0000 0.5000 0.5000
Te: 0.5000 0.0000 0.5000
Te: 0.5000 0.5000 0.0000

Calculated values
Total magnetic moment: 1.5 μB per cell

Most stable: #x. Least stable: #w.

#w
Computed, not measured: a geometry-optimized TiBW3 structure at the GGA-PBEsol level of DFT.

Unit cell a=4.1908 b=4.1908 c=4.1908 alpha=90.00 beta=90.00 gamma=90.00
Sites, in units of the cell vectors:
Ti: 0.0000 0.0000 0.0000
B: 0.5000 0.5000 0.5000
W: 0.0000 0.5000 0.5000
W: 0.5000 0.0000 0.5000
W: 0.5000 0.5000 0.0000

Calculated values
Total magnetic moment: 0.0 μB per cell

#x
Computed, not measured: a geometry-optimized TiBW3 structure at the GGA-PBEsol level of DFT.

Unit cell a=4.4671 b=4.4671 c=4.4671 alpha=90.00 beta=90.00 gamma=90.00
Sites, in units of the cell vectors:
Ti: 0.0000 0.0000 0.0000
B: 0.5000 0.5000 0.5000
W: 0.0000 0.0000 0.5000
W: 0.0000 0.5000 0.0000
W: 0.5000 0.0000 0.0000

Calculated values
Total magnetic moment: 0.0 μB per cell

Most stable: #w. Least stable: #x.

#w
Computed, not measured: a geometry-optimized Ba structure at the GGA-PBEsol level of DFT.

Unit cell a=4.3528 b=4.3528 c=4.3528 alpha=60.00 beta=60.00 gamma=60.00
Sites, in units of the cell vectors:
Ba: 0.0000 0.0000 0.0000

Calculated values
Total magnetic moment: 0.0 μB per cell

#x
Computed, not measured: a geometry-optimized Ba structure at the GGA-PBEsol level of DFT.

Unit cell a=8.1945 b=7.5214 c=4.3916 alpha=82.43 beta=65.48 gamma=32.09
Sites, in units of the cell vectors:
Ba: 0.1250 0.1250 0.1250
Ba: 0.8750 0.8750 0.8750

Calculated values
Total magnetic moment: 0.0 μB per cell

Most stable: #w. Least stable: #x.